Entry 1:
Here is crystalline PtO6 at its relaxed geometry from the Alexandria database. Energies are from PBE.

- Total magnetization: 6.0 Bohr magnetons per cell
- VASP energy: -107.25 eV for the cell shown

Cell lengths 7.4997, 7.4997, 5.8344 Å; angles 90.00, 90.00, 120.00 degrees
Space group R-3m (No. 166, hexagonal axes)
Unique sites:
Pt (0.0000, 0.0000, 0.0000) x3
O (0.0922, 0.5461, 0.4447) x18

Entry 2:
Here is crystalline PtO3 at its relaxed geometry from the Alexandria database. Energies are from PBE.

- Total magnetization: 0.5 Bohr magnetons per cell
- VASP energy: -42.23 eV for the cell shown

Cell lengths 4.8477, 4.8477, 4.2842 Å; angles 90.00, 90.00, 120.00 degrees
Space group P6_322 (No. 182)
Unique sites:
Pt (0.3333, 0.6667, 0.2500) x2
O (0.0000, 0.3168, 0.0000) x6

Entry 3:
Here is crystalline PtO2 at its relaxed geometry from the Alexandria database. Energies are from PBE.

- Total magnetization: 0.0 Bohr magnetons per cell
- VASP energy: -34.66 eV for the cell shown

Cell lengths 3.1631, 3.1631, 9.5622 Å; angles 90.00, 90.00, 120.00 degrees
Space group P6_3mc (No. 186)
Unique sites:
Pt (0.3333, 0.6667, 0.0000) x2
O (0.0000, 0.0000, 0.0992) x2
O (0.3333, 0.6667, 0.4008) x2

Entry 4:
Here is crystalline PuPtO4 at its relaxed geometry from the Alexandria database. Energies are from PBE.

- Total magnetization: 11.8 Bohr magnetons per cell
- VASP energy: -199.78 eV for the cell shown

Cell lengths 5.404, 5.404, 10.319 Å; angles 90.00, 90.00, 90.00 degrees
Space group I4/mcm (No. 140)
Unique sites:
Pu (0.000, 0.000, 0.250) x4
Pt (0.000, 0.500, 0.000) x4
O (0.181, 0.319, 0.136) x16